Record 1
This record from Alexandria describes a crystal of BaCaTc relaxed with PBEsol. The functional is SCAN.

```
BaCaTc
1.0
-0.673 3.006 -0.792
0.738 -1.153 -5.001
-4.711 -0.499 2.108
Ba Ca Tc
1 1 1
direct
0.167 0.000 0.000
0.667 0.333 0.667
0.167 0.667 0.333
```

Properties
**Formation enthalpy at 0 K**: 0.9297 eV per atom
**Total energy**: -27.1615 eV per atom
**DOS(E_F)**: 1.94 states/eV per cell
**Excess energy over the best structure of this formula in the dataset**: 0.000 eV/atom
**Spin magnetization**: 0.0 μB per formula unit
**Space group**: P-6m2 (187)

Record 2
This record from Alexandria describes a crystal of Y2Hf2Al relaxed with PBEsol. The functional is SCAN.

```
Y2Hf2Al
1.0
-2.915 2.331 -1.302
-0.022 -1.949 -3.438
-4.147 -5.510 5.421
Al Y Hf
1 2 2
direct
0.000 0.000 0.000
0.594 0.594 0.188
0.406 0.406 0.812
0.250 0.750 0.500
0.750 0.250 0.500
```

Properties
**Formation enthalpy at 0 K**: 0.3910 eV per atom
**Total energy**: -37.3658 eV per atom
**DOS(E_F)**: 3.63 states/eV per cell
**Spin magnetization**: 0.0 μB per formula unit
**Space group**: I4/mmm (139)

Record 3
This record from Alexandria describes a crystal of LaCu2PtS relaxed with PBEsol. The functional is SCAN.

```
LaCu2PtS
1.0
4.964 0.000 0.000
0.000 4.964 0.000
0.000 0.000 5.148
Cu S La Pt
2 1 1 1
direct
0.500 0.000 0.000
0.000 0.500 0.000
0.000 0.000 0.500
0.000 0.000 0.000
0.500 0.500 0.500
```

Properties
**Total energy**: -29.3469 eV per atom
**DOS(E_F)**: 4.76 states/eV per cell
**Spin magnetization**: 0.9 μB per formula unit
**E_form (uncorrected)**: 636 kJ/mol of formula units
**Space group**: P4/mmm (123)

Record 4
This record from Alexandria describes a crystal of MnCd2Hg relaxed with PBEsol. The functional is SCAN.

```
MnCd2Hg
1.0
-0.754 -0.044 2.965
4.904 -1.157 -0.349
0.176 5.230 0.122
Mn Hg Cd
1 1 2
direct
0.751 0.501 0.254
0.492 0.985 0.483
0.250 0.500 0.755
0.007 0.014 0.007
```

Properties
**Formation enthalpy at 0 K**: 0.0227 eV per atom
**Total energy**: -36.7897 eV per atom
**DOS(E_F)**: 1.65 states/eV per cell
**Spin magnetization**: 4.1 μB per formula unit
**Space group**: Cm (8)